GdPuGePd | PBE-GGA | optimized geometry

E: -0.7433 Ry per atom
formation energy: -0.557 eV per atom

Cell and atoms, written as extended XYZ:
```
4
Lattice="-2.2380 0.6253 -4.4871 0.5425 -3.5004 -3.6037 -3.9162 -2.9173 -1.2985" Properties=species:S:1:pos:R:3 pbc="T T T"
Ge 0.0000 0.0000 0.0000
Gd -4.2088 -4.3443 -7.0420
Pd -2.8059 -2.8962 -4.6946
Pu -1.4029 -1.4481 -2.3473
```